Entry 1:
# TaCd2Ag

A geometry-optimized TaCd2Ag structure (PBE-GGA, Alexandria).

a = 2.9777 Å, b = 2.9777 Å, c = 30.1651 Å
α = 90.00°, β = 90.00°, γ = 120.00°
Last column: nearest neighbours and their distance in Å.
Space group R-3m (No. 166, hexagonal axes)
One atom of each set of equivalent atoms:
1 Ta 0.0000 0.0000 0.0000 x3  6 Ta 2.98, 6 Cd 3.09
2 Cd 0.0000 0.0000 0.2481 x6  6 Cd 2.98, 3 Ag 3.00, 3 Ta 3.09
3 Ag 0.0000 0.0000 0.5000 x3  6 Ag 2.98, 6 Cd 3.00

The calculation puts the formation energy at 0.1767 eV/atom.

Entry 2:
# ZrZnCd2Sb

A geometry-optimized ZrZnCd2Sb structure (PBE-GGA, Alexandria).

a = 4.8489 Å, b = 4.8489 Å, c = 5.3556 Å
α = 90.00°, β = 90.00°, γ = 90.00°
Last column: nearest neighbours and their distance in Å.
Space group P4/mmm (No. 123)
One atom of each set of equivalent atoms:
1 Zr 0.0000 0.0000 0.0000 x1  4 Sb 3.43, 8 Cd 3.61
2 Zn 0.5000 0.5000 0.5000 x1  4 Cd 2.42, 2 Sb 2.68
3 Cd 0.0000 0.5000 0.5000 x2  2 Zn 2.42
4 Sb 0.5000 0.5000 0.0000 x1  2 Zn 2.68

The total energy comes out at -13.2 eV/f.u.

Entry 3:
# AgPt2

A geometry-optimized AgPt2 structure (PBE-GGA, Alexandria).

a = 9.9618 Å, b = 5.6454 Å, c = 6.9280 Å
α = 90.00°, β = 91.11°, γ = 90.00°
Last column: nearest neighbours and their distance in Å.
Space group C2/m (No. 12)
One atom of each set of equivalent atoms:
1 Ag 0.1683 0.0000 0.1588 x4  10 Pt 2.82-2.92, 2 Ag 2.86
2 Ag 0.2500 0.2500 0.5000 x4  4 Ag 2.82-2.86, 8 Pt 2.84-2.86
3 Pt 0.0000 0.0000 0.5000 x2  6 Pt 2.76-2.82, 6 Ag 2.86-2.92
4 Pt 0.0000 0.5000 0.5000 x2  8 Pt 2.76-2.87, 4 Ag 2.86
5 Pt 0.0809 0.2494 0.8244 x8  8 Pt 2.76-2.94, 4 Ag 2.83-2.87
6 Pt 0.1614 0.5000 0.1614 x4  7 Pt 2.80-2.93, 5 Ag 2.82-2.86

The calculation puts the formation energy at 0.0195 eV/atom.